VASP calculation (GGA-PBE) on Y4BeRu after structural relaxation.

a = 5.997 Å, b = 5.997 Å, c = 5.997 Å
α = 60.00°, β = 60.00°, γ = 60.00°
Last column: magnetic moment on the atom in μB.
Sites, in units of the cell vectors:
Ru (0.000, 0.000, 0.000)  1.03
Y (0.374, 0.374, 0.877)  0.11
Y (0.374, 0.877, 0.374)  0.11
Y (0.877, 0.374, 0.374)  0.11
Be (0.750, 0.750, 0.750)  0.00
Y (0.374, 0.374, 0.374)  0.11

Its energy of formation from the pure elements is 0.999 eV per atom. The space group is F-43m (216). The value obtained for the spin magnetization is 0.277 μB/atom. Its total energy is -5.4778 eV/atom.


VASP calculation (GGA-PBE) on Pm5Nd3Dy3 after structural relaxation.

a = 5.452 Å, b = 9.789 Å, c = 9.789 Å
α = 120.00°, β = 90.00°, γ = 90.00°
Sites, in units of the cell vectors:
Pm (0.500, 0.734, 0.000)
Pm (0.500, 0.000, 0.734)
Pm (0.500, 0.266, 0.266)
Nd (0.500, 0.360, 0.000)
Dy (0.000, 0.000, 0.540)
Pm (0.500, 0.333, 0.667)
Dy (0.000, 0.460, 0.460)
Dy (0.000, 0.540, 0.000)
Nd (0.500, 0.000, 0.360)
Pm (0.500, 0.667, 0.333)
Nd (0.500, 0.640, 0.640)

Its energy of formation from the pure elements is 0.763 eV per atom. The space group is P-62m (189). The value obtained for the spin magnetization is 0.000 μB/atom. Its total energy is -3.9517 eV/atom.